A relaxed structure of Nd2Al8Pt, computed with PBE.

Values from the calculation:
E = -51.3 eV per cell

abc: 4.3655 4.3655 11.3930
angles: 90.00 90.00 90.00
Atoms (fractional coordinates):
1 Al 0.5000 0.0000 0.1216
2 Al 0.0000 0.5000 0.1216
3 Al 0.5000 0.5000 0.3007
4 Al 0.5000 0.0000 0.5000
5 Al 0.0000 0.5000 0.5000
6 Al 0.5000 0.5000 0.6993
7 Al 0.5000 0.0000 0.8784
8 Al 0.0000 0.5000 0.8784
9 Nd 0.0000 0.0000 0.3096
10 Nd 0.0000 0.0000 0.6904
11 Pt 0.0000 0.0000 0.0000